1.
VASP calculation (GGA-PBE) on crystalline La2NdSm6Dy at its relaxed geometry.

Lattice parameters (Å, degrees): 8.887 8.887 10.067 95.15 95.15 117.87
Fractional positions:
La1 0.193 0.289 0.041
La2 0.289 0.193 0.541
La3 0.711 0.807 0.459
La4 0.807 0.711 0.959
Nd1 0.012 0.988 0.250
Nd2 0.988 0.012 0.750
Sm1 0.019 0.578 0.189
Sm2 0.120 0.737 0.556
Sm3 0.263 0.880 0.944
Sm4 0.299 0.507 0.380
Sm5 0.422 0.981 0.311
Sm6 0.493 0.701 0.120
Sm7 0.507 0.299 0.880
Sm8 0.578 0.019 0.689
Sm9 0.701 0.493 0.620
Sm10 0.737 0.120 0.056
Sm11 0.880 0.263 0.444
Sm12 0.981 0.422 0.811
Dy1 0.405 0.595 0.750
Dy2 0.595 0.405 0.250

Calculated values
For the total magnetic moment, the calculation gives 0.00 μB per formula unit. As for the space group: C2/c, No. 15. The calculation puts the total energy at -4.640 eV per atom.

2.
VASP calculation (GGA-PBE) on crystalline BaNaNd at its relaxed geometry.

Lattice parameters (Å, degrees): 4.111 4.111 15.387 90.00 90.00 90.00
Fractional positions:
Ba1 0.250 0.250 0.247
Ba2 0.750 0.750 0.753
Na1 0.250 0.250 0.937
Na2 0.750 0.750 0.063
Nd1 0.250 0.250 0.569
Nd2 0.750 0.750 0.431

Calculated values
For the total magnetic moment, the calculation gives 0.00 μB per formula unit. As for the space group: P4/nmm, No. 129. The calculation puts the total energy at -2.589 eV per atom. The distance to the lowest polymorph of the same formula is 0 kJ/mol of formula units.

3.
VASP calculation (GGA-PBE) on crystalline KInCu2 at its relaxed geometry.

Lattice parameters (Å, degrees): 5.268 5.268 3.008 90.00 90.00 90.50
Fractional positions:
K1 0.000 0.000 0.000
In1 0.500 0.500 0.000
Cu1 0.000 0.500 0.500
Cu2 0.500 0.000 0.500

Calculated values
For the total magnetic moment, the calculation gives 0.00 μB per formula unit. As for the space group: Cmmm, No. 65. The calculation puts the total energy at -2.587 eV per atom. The distance to the lowest polymorph of the same formula is 145 kJ/mol of formula units.